Record 1
A plane-wave DFT calculation with GGA-PBE was carried out for CdMoCl2 after structural relaxation.

Cell lengths 7.406, 7.406, 7.108 Å; angles 58.61, 58.61, 90.00 degrees
Fractional coordinates of all 8 atoms:
Cd: 0.000 0.000 0.000
Cd: 0.750 0.250 0.500
Mo: 0.500 0.500 0.000
Mo: 0.250 0.750 0.500
Cl: 0.281 0.625 0.250
Cl: 0.375 0.531 0.750
Cl: 0.469 0.125 0.250
Cl: 0.875 0.719 0.750

Calculated values
formation energy without anion corrections = 226 meV per atom
N(E_F) = 4.3 states/eV/f.u.
magnetization = 0.0 Bohr magnetons per cell

Record 2
A plane-wave DFT calculation with GGA-PBE was carried out for CdMo2Cl after structural relaxation.

Cell lengths 8.922, 8.922, 8.922 Å; angles 20.86, 20.86, 20.86 degrees
Fractional coordinates of all 4 atoms:
Mo: 0.994 0.994 0.994
Mo: 0.265 0.265 0.265
Cd: 0.506 0.506 0.506
Cl: 0.736 0.736 0.736

Calculated values
formation energy without anion corrections = 58 meV per atom
N(E_F) = 1.1 states/eV/f.u.
magnetization = 0.0 Bohr magnetons per cell

Record 3
A plane-wave DFT calculation with GGA-PBE was carried out for CdMo2Cl after structural relaxation.

Cell lengths 4.573, 4.573, 4.573 Å; angles 60.00, 60.00, 60.00 degrees
Fractional coordinates of all 4 atoms:
Mo: 0.750 0.750 0.750
Mo: 0.250 0.250 0.250
Cl: 0.000 0.000 0.000
Cd: 0.500 0.500 0.500

Calculated values
formation energy without anion corrections = 1113 meV per atom
N(E_F) = 3.6 states/eV/f.u.
magnetization = 0.9 Bohr magnetons per cell

Record 4
A plane-wave DFT calculation with GGA-PBE was carried out for CdMo2Cl after structural relaxation.

Cell lengths 6.145, 6.145, 6.145 Å; angles 150.50, 132.11, 57.26 degrees
Fractional coordinates of all 4 atoms:
Mo: 0.826 0.326 0.500
Mo: 0.990 0.990 0.000
Cl: 0.204 0.704 0.500
Cd: 0.480 0.480 0.000

Calculated values
formation energy without anion corrections = 484 meV per atom
N(E_F) = 2.6 states/eV/f.u.
magnetization = 0.0 Bohr magnetons per cell

magnetization of number 3 (CdMo2Cl)?
0.9 Bohr magnetons per cell

What did the fourth record say?
A plane-wave DFT calculation with GGA-PBE was carried out for CdMo2Cl after structural relaxation.

Cell lengths 6.145, 6.145, 6.145 Å; angles 150.50, 132.11, 57.26 degrees
Fractional coordinates of all 4 atoms:
Mo: 0.826 0.326 0.500
Mo: 0.990 0.990 0.000
Cl: 0.204 0.704 0.500
Cd: 0.480 0.480 0.000

Calculated values
formation energy without anion corrections = 484 meV per atom
N(E_F) = 2.6 states/eV/f.u.
magnetization = 0.0 Bohr magnetons per cell

Which value of formation energy without anion corrections does entry 4 give?
484 meV per atom

Which value of formation energy without anion corrections does entry 2 give?
58 meV per atom